Entry 1:
This record from Alexandria via LeMat-Bulk describes a geometry-optimized BaZrTa4 structure. The functional is PBE.

a b c (Å): 5.7242 5.7242 5.7242
angles (deg): 60.00 60.00 60.00
Sites, in units of the cell vectors:
Ba (0.0000, 0.0000, 0.0000)
Zr (0.2500, 0.2500, 0.2500)
Ta (0.1290, 0.6237, 0.6237)
Ta (0.6237, 0.1290, 0.6237)
Ta (0.6237, 0.6237, 0.1290)
Ta (0.6237, 0.6237, 0.6237)

**Symmetry**: F-43m (216)
**D(E_F)**: 9.2 states/eV per cell
**Formation energy**: 0.6172 eV per atom

***

Entry 2:
This record from Alexandria via LeMat-Bulk describes a geometry-optimized Ba2ZrTa structure. The functional is PBE.

a b c (Å): 3.2027 5.7980 6.4718
angles (deg): 90.00 91.95 90.00
Sites, in units of the cell vectors:
Ba (0.0024, 0.0000, 0.2532)
Ba (0.9976, 0.0000, 0.7468)
Zr (0.5000, 0.5000, 0.0000)
Ta (0.5000, 0.5000, 0.5000)

**Symmetry**: P2/m (10)
**D(E_F)**: 6.8 states/eV per cell
**Formation energy**: 1.1021 eV per atom

***

Entry 3:
This record from Alexandria via LeMat-Bulk describes a geometry-optimized BaZr2Ta structure. The functional is PBE.

a b c (Å): 5.1906 5.1906 5.1906
angles (deg): 60.00 60.00 60.00
Sites, in units of the cell vectors:
Ba (0.0000, 0.0000, 0.0000)
Zr (0.2500, 0.2500, 0.2500)
Zr (0.7500, 0.7500, 0.7500)
Ta (0.5000, 0.5000, 0.5000)

**Symmetry**: Fm-3m (225)
**D(E_F)**: 8.3 states/eV per cell
**Formation energy**: 0.8041 eV per atom

***

Entry 4:
This record from Alexandria via LeMat-Bulk describes a geometry-optimized Ba4ZrTa structure. The functional is PBE.

a b c (Å): 6.9793 6.9793 6.9793
angles (deg): 60.00 60.00 60.00
Sites, in units of the cell vectors:
Ba (0.1249, 0.1249, 0.1249)
Ba (0.1249, 0.1249, 0.6254)
Ba (0.1249, 0.6254, 0.1249)
Ba (0.6254, 0.1249, 0.1249)
Zr (0.5000, 0.5000, 0.5000)
Ta (0.7500, 0.7500, 0.7500)

**Symmetry**: F-43m (216)
**D(E_F)**: 9.3 states/eV per cell
**Formation energy**: 1.3722 eV per atom

***

Entry 5:
This record from Alexandria via LeMat-Bulk describes a geometry-optimized BaZr2Ta structure. The functional is PBE.

a b c (Å): 6.5935 6.5935 6.5935
angles (deg): 152.20 125.45 62.32
Sites, in units of the cell vectors:
Ba (0.0000, 0.0000, 0.0000)
Zr (0.2862, 0.7862, 0.5000)
Zr (0.7138, 0.2138, 0.5000)
Ta (0.5000, 0.5000, 0.0000)

**Symmetry**: Immm (71)
**D(E_F)**: 6.7 states/eV per cell
**Formation energy**: 0.7294 eV per atom

***

Entry 6:
This record from Alexandria via LeMat-Bulk describes a geometry-optimized BaZr2Ta structure. The functional is PBE.

a b c (Å): 5.0478 5.0478 7.3840
angles (deg): 93.10 93.10 36.67
Sites, in units of the cell vectors:
Ba (0.0000, 0.0000, 0.0000)
Zr (0.2364, 0.2364, 0.6743)
Zr (0.7636, 0.7636, 0.3257)
Ta (0.5000, 0.5000, 0.5000)

**Symmetry**: C2/m (12)
**D(E_F)**: 4.4 states/eV per cell
**Formation energy**: 0.5474 eV per atom

***

Entry 7:
This record from Alexandria via LeMat-Bulk describes a geometry-optimized BaZrTa2 structure. The functional is PBE.

a b c (Å): 5.1720 5.1720 5.1720
angles (deg): 123.22 123.22 84.50
Sites, in units of the cell vectors:
Ba (0.0000, 0.0000, 0.0000)
Zr (0.7500, 0.2500, 0.5000)
Ta (0.2500, 0.7500, 0.5000)
Ta (0.5000, 0.5000, 0.0000)

**Symmetry**: I-4m2 (119)
**D(E_F)**: 6.6 states/eV per cell
**Formation energy**: 1.0023 eV per atom

***

Entry 8:
This record from Alexandria via LeMat-Bulk describes a geometry-optimized Ba2ZrTa structure. The functional is PBE.

a b c (Å): 3.8356 3.8356 9.6995
angles (deg): 90.00 90.00 90.00
Sites, in units of the cell vectors:
Ba (0.0000, 0.0000, 0.0000)
Ba (0.5000, 0.5000, 0.3883)
Zr (0.5000, 0.5000, 0.7434)
Ta (0.0000, 0.0000, 0.6357)

**Symmetry**: P4mm (99)
**D(E_F)**: 3.5 states/eV per cell
**Formation energy**: 0.5193 eV per atom